Entry 1:
First-principles (PBE) data for crystalline LiIr3Pb5 at its relaxed geometry, as listed in the Open Quantum Materials Database.

The structure in POSCAR format:
```
LiIr3Pb5
1.0
5.704 0.000 0.000
-2.852 4.940 0.000
0.000 0.000 8.261
Li Ir Pb
1 3 5
Cartesian
0.000 0.000 0.000
-1.426 2.470 4.130
2.852 0.000 4.130
1.426 2.470 4.130
0.000 0.000 4.130
0.000 3.293 1.781
0.000 3.293 6.480
2.852 1.647 1.781
2.852 1.647 6.480
```

As for the final energy: -5.053 eV/atom. As for the symmetry: No. 191.

***

Entry 2:
First-principles (PBE) data for crystalline Li4IrPdPb2 at its relaxed geometry, as listed in the Open Quantum Materials Database.

The structure in POSCAR format:
```
Li4IrPdPb2
1.0
4.575 0.000 0.000
0.000 4.575 0.000
0.000 0.000 6.406
Li Ir Pd Pb
4 1 1 2
Cartesian
0.000 0.000 0.000
0.000 2.288 1.579
2.288 0.000 4.826
2.288 2.288 3.203
2.288 2.288 0.000
0.000 0.000 3.203
0.000 2.288 4.835
2.288 0.000 1.570
```

As for the final energy: -3.943 eV/atom. As for the symmetry: No. 115.

***

Entry 3:
First-principles (PBE) data for crystalline Li4SnIr2Pb at its relaxed geometry, as listed in the Open Quantum Materials Database.

The structure in POSCAR format:
```
Li4SnIr2Pb
1.0
4.473 0.000 0.000
0.000 4.473 0.000
0.000 0.000 6.335
Li Sn Ir Pb
4 1 2 1
Cartesian
0.000 0.000 0.000
0.000 2.236 4.704
2.236 0.000 1.631
2.236 2.236 3.168
0.000 0.000 3.168
0.000 2.236 1.657
2.236 0.000 4.678
2.236 2.236 0.000
```

As for the final energy: -4.428 eV/atom. As for the symmetry: No. 115.

***

Entry 4:
First-principles (PBE) data for crystalline LiIrPd2 at its relaxed geometry, as listed in the Open Quantum Materials Database.

The structure in POSCAR format:
```
LiIrPd2
1.0
-1.350 4.342 2.458
1.350 -4.342 2.458
1.350 4.342 -2.458
Li Ir Pd
1 1 2
Cartesian
0.000 0.000 0.000
0.000 4.342 0.085
1.350 2.235 -0.941
0.000 2.107 1.517
```

As for the final energy: -5.436 eV/atom. As for the symmetry: No. 44.

***

Entry 5:
First-principles (PBE) data for crystalline Li3IrPd2 at its relaxed geometry, as listed in the Open Quantum Materials Database.

The structure in POSCAR format:
```
Li3IrPd2
1.0
2.724 0.000 0.000
-1.362 2.359 0.000
0.000 0.000 12.655
Li Ir Pd
3 1 2
Cartesian
0.000 0.000 0.000
0.000 1.573 8.450
1.362 0.786 4.204
0.000 0.000 6.327
0.000 1.573 2.071
1.362 0.786 10.584
```

As for the final energy: -4.516 eV/atom. As for the symmetry: No. 164.

***

Entry 6:
First-principles (PBE) data for crystalline LiIrPd2 at its relaxed geometry, as listed in the Open Quantum Materials Database.

The structure in POSCAR format:
```
LiIrPd2
1.0
0.000 3.070 3.070
3.070 0.000 3.070
3.070 3.070 0.000
Li Ir Pd
1 1 2
Cartesian
0.000 0.000 0.000
1.535 1.535 1.535
3.070 3.070 3.070
4.605 4.605 4.605
```

As for the final energy: -5.188 eV/atom. As for the symmetry: No. 216.

***

Magnetic moment
In order: 0.02; 0.00; 0.00; 0.00; 0.03; 1.88
Unit: μB/cell